Entry 1:
A plane-wave DFT calculation with PBE was carried out for K2AgSBr after structural relaxation.

Formation energy from raw total energies   -991 meV/atom
SG   P4/mmm, No. 123
ρ   2.81 g/cm3
Total magnetic moment   0.0 Bohr magnetons per cell
Electronic total energy   -15.803 eV for the cell shown

POSCAR file:
```
K2AgSBr
1.0
6.139 0.000 0.000
0.000 6.139 0.000
0.000 0.000 4.672
K Ag S Br
2 1 1 1
Direct
0.000 0.500 0.000 K
0.500 0.000 0.000 K
0.000 0.000 0.500 Ag
0.000 0.000 0.000 S
0.500 0.500 0.500 Br
```

Entry 2:
A plane-wave DFT calculation with PBE was carried out for Ca2ErSn after structural relaxation.

Relative energy among the computed polymorphs   0 meV/atom
ΔE_f   -0.3613 eV/atom
SG   P4/mmm, No. 123
ρ   5.09 g/cm3
Total magnetic moment   0.0 Bohr magnetons per cell
Electronic total energy   -14.014 eV for the cell shown
Density of states at the Fermi level   2.5 states/eV/f.u.

POSCAR file:
```
Ca2ErSn
1.0
4.838 0.000 0.000
0.000 4.838 0.000
0.000 0.000 5.106
Ca Er Sn
2 1 1
Direct
0.000 0.500 0.000 Ca
0.500 0.000 0.000 Ca
0.000 0.000 0.500 Er
0.500 0.500 0.500 Sn
```